a.
K2In2Fe: optimized geometry, PBE.

Structure (POSCAR):
```
K2In2Fe
1.0
4.238 0.000 0.000
0.000 4.238 0.000
2.119 2.119 10.630
Fe In K
1 2 2
direct
0.000 0.000 0.000
0.250 0.750 0.500
0.750 0.250 0.500
0.402 0.402 0.197
0.598 0.598 0.803
```

Computed properties:
* calculated volume: 38.2 A^3/atom

b.
K2In2Fe: optimized geometry, PBE.

Structure (POSCAR):
```
K2In2Fe
1.0
10.670 0.000 0.000
0.000 10.670 0.000
0.000 0.000 3.073
Fe In K
2 4 4
direct
0.500 0.500 0.000
0.000 0.000 0.000
0.900 0.400 0.500
0.400 0.100 0.500
0.100 0.600 0.500
0.600 0.900 0.500
0.696 0.196 0.000
0.804 0.696 0.000
0.304 0.804 0.000
0.196 0.304 0.000
```

Computed properties:
* calculated volume: 35.0 A^3/atom

It comes down to a, which is 76 meV per atom more stable than the next structure.

a.
LaIn3Fe: optimized geometry, PBE.

Structure (POSCAR):
```
LaIn3Fe
1.0
5.001 0.000 0.000
0.000 5.001 0.000
0.000 0.000 5.001
La In Fe
1 3 1
direct
0.500 0.500 0.500
0.000 0.500 0.000
0.000 0.000 0.500
0.500 0.000 0.000
0.000 0.000 0.000
```

Computed properties:
* calculated volume: 25.0 A^3/atom

b.
LaIn3Fe: optimized geometry, PBE.

Structure (POSCAR):
```
LaIn3Fe
1.0
6.019 0.000 0.000
0.000 6.019 0.000
0.000 0.000 6.019
In Fe La
3 1 1
direct
0.500 0.000 0.000
0.000 0.500 0.000
0.000 0.000 0.500
0.500 0.500 0.500
0.000 0.000 0.000
```

Computed properties:
* calculated volume: 43.6 A^3/atom

It comes down to a, which is 1839 meV per atom more stable than the next structure.

a.
SrLa2InFe: optimized geometry, PBE.

Structure (POSCAR):
```
SrLa2InFe
1.0
-1.786 -0.413 4.993
4.707 -1.955 1.522
1.736 4.985 1.034
La In Fe Sr
2 1 1 1
direct
0.500 0.000 0.000
0.000 0.500 0.000
0.000 0.000 0.500
0.000 0.000 0.000
0.500 0.500 0.500
```

Computed properties:
* calculated volume: 30.4 A^3/atom

b.
SrLa2InFe: optimized geometry, PBE.

Structure (POSCAR):
```
SrLa2InFe
1.0
6.161 0.000 0.000
0.000 6.161 0.000
0.000 0.000 5.006
Sr Fe In La
1 1 1 2
direct
0.500 0.500 0.500
0.000 0.000 0.500
0.000 0.000 0.000
0.500 0.000 0.000
0.000 0.500 0.000
```

Computed properties:
* calculated volume: 38.0 A^3/atom

It comes down to a, which is 603 meV per atom more stable than the next structure.

a.
Mn2In2Fe: optimized geometry, PBE.

Structure (POSCAR):
```
Mn2In2Fe
1.0
7.287 0.000 0.000
0.000 7.287 0.000
0.000 0.000 3.324
Fe Mn In
2 4 4
direct
0.000 0.000 0.000
0.500 0.500 0.000
0.844 0.344 0.500
0.344 0.156 0.500
0.656 0.844 0.500
0.156 0.656 0.500
0.145 0.355 0.000
0.645 0.145 0.000
0.855 0.645 0.000
0.355 0.855 0.000
```

Computed properties:
* calculated volume: 17.7 A^3/atom

b.
Mn2In2Fe: optimized geometry, PBE.

Structure (POSCAR):
```
Mn2In2Fe
1.0
3.112 0.000 0.000
0.000 3.112 0.000
1.556 1.556 8.515
In Mn Fe
2 2 1
direct
0.609 0.609 0.782
0.391 0.391 0.218
0.250 0.750 0.500
0.750 0.250 0.500
0.000 0.000 0.000
```

Computed properties:
* calculated volume: 16.5 A^3/atom

It comes down to a, which is 53 meV per atom more stable than the next structure.

a.
InFe3Mo: optimized geometry, PBE.

Structure (POSCAR):
```
InFe3Mo
1.0
4.521 0.000 0.000
0.000 4.521 0.000
0.000 0.000 4.521
Mo Fe In
1 3 1
direct
0.000 0.000 0.000
0.000 0.500 0.000
0.000 0.000 0.500
0.500 0.000 0.000
0.500 0.500 0.500
```

Computed properties:
* calculated volume: 18.5 A^3/atom

b.
InFe3Mo: optimized geometry, PBE.

Structure (POSCAR):
```
InFe3Mo
1.0
-2.480 0.868 -3.885
3.865 -0.569 -2.595
-0.952 -4.574 -0.415
Mo Fe In
1 3 1
direct
0.500 0.500 0.500
0.500 0.000 0.000
0.000 0.000 0.500
0.000 0.500 0.000
0.000 0.000 0.000
```

Computed properties:
* calculated volume: 20.6 A^3/atom

It comes down to a, which is 631 meV per atom more stable than the next structure.

a.
InFeSe2N: optimized geometry, PBE.

Structure (POSCAR):
```
InFeSe2N
1.0
-4.341 -3.033 -0.881
1.141 -2.902 4.370
-2.240 2.546 2.276
Fe Se N In
1 2 1 1
direct
0.500 0.500 0.500
0.500 0.000 0.000
0.000 0.500 0.000
0.000 0.000 0.500
0.000 0.000 0.000
```

Computed properties:
* calculated volume: 23.5 A^3/atom

b.
InFeSe2N: optimized geometry, PBE.

Structure (POSCAR):
```
InFeSe2N
1.0
-1.355 4.600 1.602
-2.631 -2.091 3.777
2.794 0.122 2.013
Se In Fe N
2 1 1 1
direct
0.000 0.500 0.000
0.500 0.000 0.000
0.500 0.500 0.500
0.000 0.000 0.000
0.000 0.000 0.500
```

Computed properties:
* calculated volume: 17.6 A^3/atom

It comes down to b, which is 1060 meV per atom more stable than the next structure.